# 1
A geometry-optimized LiSmSc2Se4 structure. Source: Alexandria, functional PBE-GGA.

a b c (Å): 3.9435 6.8329 6.9404
angles (deg): 108.98 90.00 90.00
Positions (direct):
1 Se 0.5000 0.7344 0.7350
2 Se 0.0000 0.7460 0.2612
3 Se 0.0000 0.2540 0.7388
4 Se 0.5000 0.2656 0.2650
5 Sm 0.0000 0.0000 0.0000
6 Sc 0.5000 0.0000 0.5000
7 Sc 0.0000 0.5000 0.5000
8 Li 0.5000 0.5000 0.0000

Calculated values
The value obtained for the size of the total moment is 0.0000 μB per atom. The total energy comes out at -46.51 eV/f.u. For the density of states at the Fermi level, the calculation gives 0.406 states/eV per atom. The calculation puts the formation energy without anion corrections at -1.660 eV per atom.

---

# 2
A geometry-optimized Ho3Al2 structure. Source: Alexandria, functional PBE-GGA.

a b c (Å): 8.1911 8.1911 7.5691
angles (deg): 90.00 90.00 90.00
Positions (direct):
1 Ho 0.5000 0.0000 0.5062
2 Ho 0.0000 0.5000 0.5062
3 Ho 0.6499 0.3501 0.7562
4 Ho 0.7020 0.2980 0.2562
5 Ho 0.3501 0.6499 0.7562
6 Ho 0.2020 0.2020 0.7562
7 Ho 0.1499 0.1499 0.2562
8 Ho 0.0000 0.5000 0.0062
9 Ho 0.5000 0.0000 0.0062
10 Ho 0.7980 0.7980 0.7562
11 Ho 0.8501 0.8501 0.2562
12 Ho 0.2980 0.7020 0.2562
13 Al 0.8809 0.1191 0.9512
14 Al 0.8809 0.1191 0.5612
15 Al 0.3809 0.3809 0.4512
16 Al 0.1191 0.8809 0.5612
17 Al 0.6191 0.6191 0.0612
18 Al 0.3809 0.3809 0.0612
19 Al 0.6191 0.6191 0.4512
20 Al 0.1191 0.8809 0.9512

Calculated values
The value obtained for the size of the total moment is 0.0000 μB per atom. The total energy comes out at -22.86 eV/f.u. For the density of states at the Fermi level, the calculation gives 1.170 states/eV per atom.